Record 1
# TlReAs | Alexandria via LeMat-Bulk | PBE-GGA | relaxed
# M_tot, μB/f.u.: 0.0
# ΔE_f, meV per atom: 459
data_TlReAs
_cell_length_a 3.064
_cell_length_b 3.064
_cell_length_c 13.319
_cell_angle_alpha 90.00
_cell_angle_beta 90.00
_cell_angle_gamma 90.00
_symmetry_space_group_name_H-M 'I 4 m m'
_symmetry_Int_Tables_number 107
_symmetry_space_group_name_Hall 'I 4 -2'
loop_
_atom_site_label
_atom_site_fract_x
_atom_site_fract_y
_atom_site_fract_z
Tl1 0.000 0.000 0.000
Re1 0.000 0.000 0.670
As1 0.000 0.000 0.273

***

Record 2
# PmPrSm3Ho | Alexandria via LeMat-Bulk | PBE-GGA | relaxed
# M_tot, μB/f.u.: 0.0
# ΔE_f, meV per atom: 175
data_PmPrSm3Ho
_cell_length_a 20.332
_cell_length_b 5.786
_cell_length_c 6.958
_cell_angle_alpha 90.00
_cell_angle_beta 90.40
_cell_angle_gamma 90.00
_symmetry_space_group_name_H-M 'C 1 2/m 1'
_symmetry_Int_Tables_number 12
loop_
_symmetry_equiv_pos_as_xyz
'x,y,z'
'-x,-y,-z'
'-x,y,-z'
'x,-y,z'
'x+1/2,y+1/2,z'
'-x+1/2,-y+1/2,-z'
'-x+1/2,y+1/2,-z'
'x+1/2,-y+1/2,z'
loop_
_atom_site_label
_atom_site_fract_x
_atom_site_fract_y
_atom_site_fract_z
Pm1 0.056 0.000 0.261
Pr1 0.146 0.500 0.023
Sm1 0.019 0.500 0.744
Sm2 0.163 0.000 0.736
Sm3 0.219 0.000 0.249
Ho1 0.148 0.500 0.467

***

Record 3
# Pr4SnTe2 | Alexandria via LeMat-Bulk | PBE-GGA | relaxed
# M_tot, μB/f.u.: 0.0
# E_form (uncorrected), meV per atom: -1086.1
data_Pr4SnTe2
_cell_length_a 9.586
_cell_length_b 9.586
_cell_length_c 9.562
_cell_angle_alpha 90.00
_cell_angle_beta 90.00
_cell_angle_gamma 90.00
_symmetry_space_group_name_H-M 'I -4 2 d'
_symmetry_Int_Tables_number 122
_symmetry_space_group_name_Hall 'I -4 2bw'
loop_
_atom_site_label
_atom_site_fract_x
_atom_site_fract_y
_atom_site_fract_z
Pr1 0.068 0.179 0.303
Sn1 0.000 0.000 0.000
Te1 0.127 0.250 0.625

***

Record 4
# MgZrBe | Alexandria via LeMat-Bulk | PBE-GGA | relaxed
# M_tot, μB/f.u.: 0.0
# ΔE_f, meV per atom: 193
data_MgZrBe
_cell_length_a 4.3863
_cell_length_b 4.3863
_cell_length_c 3.2170
_cell_angle_alpha 90.00
_cell_angle_beta 90.00
_cell_angle_gamma 120.00
_symmetry_space_group_name_H-M 'P 3 m 1'
_symmetry_Int_Tables_number 156
loop_
_symmetry_equiv_pos_as_xyz
'x,y,z'
'-y,x-y,z'
'-x+y,-x,z'
'-y,-x,z'
'-x+y,y,z'
'x,x-y,z'
loop_
_atom_site_label
_atom_site_fract_x
_atom_site_fract_y
_atom_site_fract_z
Mg1 0.0000 0.0000 0.0000
Zr1 0.6667 0.3333 0.5012
Be1 0.3333 0.6667 0.0049

***

Record 5
# ScAl2GaH | Alexandria via LeMat-Bulk | PBE-GGA | relaxed
# Calculated total energy, eV/atom: -4.27
# M_tot, μB/f.u.: 0.0
data_ScAl2GaH
_cell_length_a 4.169
_cell_length_b 4.169
_cell_length_c 4.129
_cell_angle_alpha 90.00
_cell_angle_beta 90.00
_cell_angle_gamma 90.00
_symmetry_space_group_name_H-M 'P 4/m m m'
_symmetry_Int_Tables_number 123
_symmetry_space_group_name_Hall '-P 4 2'
loop_
_atom_site_label
_atom_site_fract_x
_atom_site_fract_y
_atom_site_fract_z
Sc1 0.000 0.000 0.000
Al1 0.000 0.500 0.500
Ga1 0.500 0.500 0.000
H1 0.000 0.000 0.500

***

Record 6
# CaTlGa | Alexandria via LeMat-Bulk | PBE-GGA | relaxed
# M_tot, μB/f.u.: 0.0
# ΔE_f, meV per atom: -307
data_CaTlGa
_cell_length_a 4.8561
_cell_length_b 4.8561
_cell_length_c 3.8070
_cell_angle_alpha 90.00
_cell_angle_beta 90.00
_cell_angle_gamma 120.00
_symmetry_space_group_name_H-M 'P 3 m 1'
_symmetry_Int_Tables_number 156
loop_
_symmetry_equiv_pos_as_xyz
'x,y,z'
'-y,x-y,z'
'-x+y,-x,z'
'-y,-x,z'
'-x+y,y,z'
'x,x-y,z'
loop_
_atom_site_label
_atom_site_fract_x
_atom_site_fract_y
_atom_site_fract_z
Ca1 0.0000 0.0000 0.0000
Tl1 0.6667 0.3333 0.4411
Ga1 0.3333 0.6667 0.5908

***

Record 7
# Er4SnAsSe2 | Alexandria via LeMat-Bulk | PBE-GGA | relaxed
# M_tot, μB/f.u.: 0.0
# E_form (uncorrected), meV per atom: -1419.6
data_Er4SnAsSe2
_cell_length_a 7.166
_cell_length_b 4.146
_cell_length_c 7.205
_cell_angle_alpha 90.00
_cell_angle_beta 109.47
_cell_angle_gamma 90.00
_symmetry_space_group_name_H-M 'P 1 2/m 1'
_symmetry_Int_Tables_number 10
loop_
_symmetry_equiv_pos_as_xyz
'x,y,z'
'-x,-y,-z'
'-x,y,-z'
'x,-y,z'
loop_
_atom_site_label
_atom_site_fract_x
_atom_site_fract_y
_atom_site_fract_z
Er1 0.242 0.000 0.241
Er2 0.249 0.500 0.757
Sn1 0.000 0.000 0.500
As1 0.000 0.500 0.000
Se1 0.500 0.000 0.000
Se2 0.500 0.500 0.500

***

Record 8
# Al2CuI | Alexandria via LeMat-Bulk | PBE-GGA | relaxed
# M_tot, μB/f.u.: 0.0
# E_form (uncorrected), meV per atom: 303.4
data_Al2CuI
_cell_length_a 5.630
_cell_length_b 5.630
_cell_length_c 14.253
_cell_angle_alpha 90.00
_cell_angle_beta 90.00
_cell_angle_gamma 90.00
_symmetry_space_group_name_H-M 'I -4 2 d'
_symmetry_Int_Tables_number 122
_symmetry_space_group_name_Hall 'I -4 2bw'
loop_
_atom_site_label
_atom_site_fract_x
_atom_site_fract_y
_atom_site_fract_z
Al1 0.121 0.250 0.125
Cu1 0.000 0.000 0.000
I1 0.000 0.000 0.500